# 1
Material: TbNdZn
Method: DFT, PBE-GGA
State: optimized geometry Values from VASP.

ΔE_f = 0.70 kcal/mol of atoms
space group = Pnma (62)
D(E_F) = 4.6 states/eV/f.u.
energy above the most stable polymorph in this dataset = 232 meV/atom
total magnetic moment = 0.00 μB/f.u.
crystal system = orthorhombic

Geometry as Quantum ESPRESSO input:
```
&SYSTEM
  ibrav = 0, nat = 12, ntyp = 3
/
ATOMIC_SPECIES
Tb 158.93 Tb.upf
Nd 144.24 Nd.upf
Zn 65.41 Zn.upf
CELL_PARAMETERS angstrom
10.089 0.000 0.000
0.000 5.032 0.000
0.000 0.000 7.107
ATOMIC_POSITIONS angstrom
Tb 1.215 1.258 0.034
Tb 3.830 3.774 3.588
Tb 6.259 1.258 3.519
Tb 8.875 3.774 7.072
Nd 1.317 1.258 3.586
Nd 3.728 3.774 0.032
Nd 6.362 1.258 7.075
Nd 8.772 3.774 3.521
Zn 1.259 3.774 5.360
Zn 3.786 1.258 1.807
Zn 6.304 3.774 5.300
Zn 8.830 1.258 1.747
```



# 2
Material: TbNd3Zn8
Method: DFT, PBE-GGA
State: optimized geometry Values from VASP.

ΔE_f = -7.42 kcal/mol of atoms
space group = R3m (160)
D(E_F) = 5.1 states/eV/f.u.
energy above the most stable polymorph in this dataset = 0 meV/atom
total magnetic moment = 0.00 μB/f.u.
crystal system = trigonal

Geometry as Quantum ESPRESSO input:
```
&SYSTEM
  ibrav = 0, nat = 12, ntyp = 3
/
ATOMIC_SPECIES
Tb 158.93 Tb.upf
Nd 144.24 Nd.upf
Zn 65.41 Zn.upf
CELL_PARAMETERS angstrom
2.782 1.606 9.044
-2.782 1.606 9.044
0.000 -3.212 9.044
ATOMIC_POSITIONS angstrom
Tb 0.000 0.000 0.000
Nd 0.000 0.000 3.384
Nd 0.000 0.000 13.536
Nd 0.000 0.000 16.924
Zn -1.396 -0.806 10.697
Zn 0.000 -1.615 6.224
Zn -1.399 0.807 6.224
Zn 0.000 0.000 8.459
Zn 1.396 -0.806 10.697
Zn 0.000 1.612 10.697
Zn 1.399 0.807 6.224
Zn 0.000 0.000 22.030
```



# 3
Material: Tb4Nd9Zn11
Method: DFT, PBE-GGA
State: optimized geometry Values from VASP.

ΔE_f = -5.36 kcal/mol of atoms
space group = Cmmm (65)
D(E_F) = 22.3 states/eV/f.u.
total magnetic moment = 0.00 μB/f.u.
crystal system = orthorhombic

Geometry as Quantum ESPRESSO input:
```
&SYSTEM
  ibrav = 0, nat = 24, ntyp = 3
/
ATOMIC_SPECIES
Tb 158.93 Tb.upf
Nd 144.24 Nd.upf
Zn 65.41 Zn.upf
CELL_PARAMETERS angstrom
7.689 -11.035 0.000
7.689 11.035 0.000
0.000 0.000 3.547
ATOMIC_POSITIONS angstrom
Tb 2.423 2.033 0.000
Tb 2.423 -2.033 0.000
Tb 12.954 2.033 0.000
Tb 12.954 -2.033 0.000
Nd 0.000 0.000 0.000
Nd 5.908 5.707 0.000
Nd 5.836 1.907 0.000
Nd 9.470 5.707 0.000
Nd 5.836 -1.907 0.000
Nd 9.541 1.907 0.000
Nd 5.908 -5.707 0.000
Nd 9.541 -1.907 0.000
Nd 9.470 -5.707 0.000
Zn 4.029 3.946 1.774
Zn 7.689 8.061 1.774
Zn 3.891 0.000 1.774
Zn 7.689 3.732 1.774
Zn 4.029 -3.946 1.774
Zn 7.689 0.000 1.774
Zn 11.348 3.946 1.774
Zn 7.689 -3.732 1.774
Zn 11.486 0.000 1.774
Zn 7.689 -8.061 1.774
Zn 11.348 -3.946 1.774
```